1.
Material: SmPu2Pd9
Method: DFT, GGA-PBE
State: relaxed

Structure (POSCAR):
```
SmPu2Pd9
1.0
-1.257 2.577 3.001
2.465 -1.953 2.710
9.292 7.814 -2.819
Sm Pu Pd
1 2 9
Cartesian
0.000 0.000 0.000
3.102 2.608 -0.941
6.190 5.205 -1.878
0.604 0.312 2.855
3.710 2.924 1.913
6.789 5.513 0.979
0.954 2.620 1.021
4.018 5.196 0.091
7.081 7.772 -0.838
2.815 0.354 0.875
5.878 2.930 -0.055
8.942 5.506 -0.984
```

Computed properties:
Its density is 12.34 g/cm³. The value obtained for the formation energy is -0.648 eV/atom. Its space group is P4/mmm (123).


2.
Material: MgBeW2
Method: DFT, GGA-PBE
State: relaxed

Structure (POSCAR):
```
MgBeW2
1.0
5.155 0.006 -0.001
4.151 3.056 -0.001
1.754 0.577 3.825
Be Mg W
1 1 2
Cartesian
2.765 0.910 0.956
8.296 2.729 2.868
9.194 3.025 0.056
5.643 1.856 1.855
```

Computed properties:
Its density is 11.06 g/cm³. The value obtained for the formation energy is 0.393 eV/atom. Its space group is Immm (71). The calculation puts the energy above the most stable polymorph in this dataset at 100 meV per atom.


3.
Material: GePtSe2N
Method: DFT, GGA-PBE
State: relaxed

Structure (POSCAR):
```
GePtSe2N
1.0
-3.886 -2.310 -2.711
3.561 -2.596 -2.892
-0.047 -2.765 2.424
Ge Se Pt N
1 2 1 1
Cartesian
-0.186 -3.836 -1.589
1.780 -1.298 -1.446
-1.943 -1.155 -1.355
0.000 0.000 0.000
-0.024 -1.382 1.212
```

Computed properties:
The formation energy without anion corrections is 0.527 eV per atom. Its density is 7.15 g/cm³. Its space group is P4/mmm (123). The calculation puts the energy above the most stable polymorph in this dataset at 0 meV per atom.


4.
Material: La2YAgC
Method: DFT, GGA-PBE
State: relaxed

Structure (POSCAR):
```
La2YAgC
1.0
-1.879 -2.088 -4.435
-2.149 -3.918 2.755
-4.075 2.591 0.507
Y C Ag La
1 1 1 2
Cartesian
-2.037 1.296 0.253
0.000 0.000 0.000
-4.051 -1.707 -0.587
-1.074 -1.959 1.377
-0.939 -1.044 -2.217
```

Computed properties:
Its density is 6.04 g/cm³. The value obtained for the formation energy is -0.110 eV/atom. Its space group is P4/mmm (123).


5.
Material: La6Co2AsBr3
Method: DFT, GGA-PBE
State: relaxed

Structure (POSCAR):
```
La6Co2AsBr3
1.0
-0.429 1.055 4.078
6.421 -6.242 2.290
4.452 7.895 -3.773
La Co As Br
6 2 1 3
Cartesian
8.439 0.172 0.842
4.943 0.146 2.680
2.005 2.535 1.753
1.797 -1.103 0.474
8.647 3.811 2.121
5.502 2.561 -0.084
6.852 1.949 2.414
3.592 0.759 0.181
-0.214 0.528 2.039
2.996 -2.594 3.184
3.726 5.272 1.226
6.719 -2.564 1.370
```

Computed properties:
The formation energy without anion corrections is -1.049 eV per atom. Its density is 5.94 g/cm³. Its space group is C2/m (12).


6.
Material: CsScAu2
Method: DFT, GGA-PBE
State: relaxed

Structure (POSCAR):
```
CsScAu2
1.0
0.000 3.789 3.789
3.789 0.000 3.789
3.789 3.789 0.000
Cs Sc Au
1 1 2
Cartesian
3.789 3.789 3.789
0.000 0.000 0.000
1.894 1.894 1.894
5.683 5.683 5.683
```

Computed properties:
Its density is 8.73 g/cm³. The value obtained for the formation energy is 0.148 eV/atom. Its space group is Fm-3m (225). The calculation puts the energy above the most stable polymorph in this dataset at 569 meV per atom.


no.,calculated volume (Å³/atom),total moment (μB/cell),final energy (eV per cell)
1,17.9,8.6,-87.89
2,15.0,0.0,-29.65
3,20.4,0.0,-23.32
4,26.8,0.0,-28.94
5,29.5,0.0,-66.04
6,27.2,0.0,-13.15